[1]
First-principles (PBE) data for crystalline LiCrGeP2 at its relaxed geometry, as listed in Alexandria.

Computed properties:
Fermi-level density of states   0.896 states/eV/atom
DFT formation energy   1022 meV per atom
Total moment   0.208 μB/cell
Calculated total energy   -21.9 eV for the cell shown
Space-group type   P4/mmm (123)
Crystal system   tetragonal

Unit cell a=4.8151 b=4.5439 c=4.8151 alpha=90.00 beta=90.00 gamma=90.00
Last column: nearest neighbours and their distance in Å.
Element x y z (fractional)
Cr: 0.0000 0.5000 0.0000  2 Ge 2.27
Ge: 0.0000 0.0000 0.0000  2 Cr 2.27, 4 P 2.41
Li: 0.5000 0.5000 0.5000  8 P 3.31, 4 Cr 3.40
P: 0.0000 0.0000 0.5000  2 Ge 2.41
P: 0.5000 0.0000 0.0000  2 Ge 2.41


[2]
First-principles (PBE) data for crystalline Li2CrGePb at its relaxed geometry, as listed in Alexandria.

Computed properties:
Fermi-level density of states   1.904 states/eV/atom
DFT formation energy   1028 meV per atom
Total moment   0.198 μB/cell
Calculated total energy   -16.6 eV for the cell shown
Space-group type   P4/mmm (123)
Crystal system   tetragonal

Unit cell a=4.5760 b=5.4509 c=4.5760 alpha=90.00 beta=90.00 gamma=90.00
Last column: nearest neighbours and their distance in Å.
Element x y z (fractional)
Pb: 0.0000 0.5000 0.0000  2 Ge 2.73
Cr: 0.5000 0.5000 0.5000  4 Pb 3.24, 8 Li 3.56
Ge: 0.0000 0.0000 0.0000  4 Li 2.29
Li: 0.0000 0.0000 0.5000  2 Ge 2.29
Li: 0.5000 0.0000 0.0000  2 Ge 2.29


[3]
First-principles (PBE) data for crystalline LiCrGePd at its relaxed geometry, as listed in Alexandria.

Computed properties:
Fermi-level density of states   0.391 states/eV/atom
DFT formation energy   -284 meV per atom
Total moment   3.272 μB/cell
Calculated total energy   -22.5 eV for the cell shown
Space-group type   F-43m (216)
Crystal system   cubic

Unit cell a=4.2858 b=4.2858 c=4.2858 alpha=60.00 beta=60.00 gamma=60.00
Last column: nearest neighbours and their distance in Å.
Element x y z (fractional)
Cr: 0.0000 0.0000 0.0000  4 Li 2.62, 4 Ge 2.62
Ge: 0.2500 0.2500 0.2500  4 Pd 2.62, 4 Cr 2.62
Pd: 0.5000 0.5000 0.5000  4 Ge 2.62, 4 Li 2.62
Li: 0.7500 0.7500 0.7500  4 Pd 2.62, 4 Cr 2.62


[4]
First-principles (PBE) data for crystalline RbLiCrGe2 at its relaxed geometry, as listed in Alexandria.

Computed properties:
Fermi-level density of states   1.414 states/eV/atom
DFT formation energy   2051 meV per atom
Total moment   0.354 μB/cell
Calculated total energy   -11.5 eV for the cell shown
Space-group type   P4/mmm (123)
Crystal system   tetragonal

Unit cell a=5.6493 b=4.5150 c=5.6493 alpha=90.00 beta=90.00 gamma=90.00
Last column: nearest neighbours and their distance in Å.
Element x y z (fractional)
Cr: 0.5000 0.5000 0.5000  8 Ge 3.62, 4 Li 3.99
Ge: 0.0000 0.0000 0.5000  2 Rb 2.82
Ge: 0.5000 0.0000 0.0000  2 Rb 2.82
Rb: 0.0000 0.0000 0.0000  2 Li 2.26
Li: 0.0000 0.5000 0.0000  2 Rb 2.26


[5]
First-principles (PBE) data for crystalline LiCrRe2Ge at its relaxed geometry, as listed in Alexandria.

Computed properties:
Fermi-level density of states   1.288 states/eV/atom
DFT formation energy   1410 meV per atom
Total moment   0.002 μB/cell
Calculated total energy   -34.0 eV for the cell shown
Space-group type   P4/mmm (123)
Crystal system   tetragonal

Unit cell a=4.4400 b=4.3586 c=4.4400 alpha=90.00 beta=90.00 gamma=90.00
Last column: nearest neighbours and their distance in Å.
Element x y z (fractional)
Re: 0.0000 0.0000 0.5000  2 Cr 2.22
Re: 0.5000 0.0000 0.0000  2 Cr 2.22
Ge: 0.5000 0.5000 0.5000  8 Re 3.11, 4 Li 3.14
Li: 0.0000 0.5000 0.0000  2 Cr 2.18
Cr: 0.0000 0.0000 0.0000  2 Li 2.18, 4 Re 2.22


[6]
First-principles (PBE) data for crystalline Li2CrGeRu at its relaxed geometry, as listed in Alexandria.

Computed properties:
Fermi-level density of states   1.546 states/eV/atom
DFT formation energy   1001 meV per atom
Total moment   0.687 μB/cell
Calculated total energy   -22.3 eV for the cell shown
Space-group type   P4/mmm (123)
Crystal system   tetragonal

Unit cell a=4.3170 b=4.3170 c=4.6048 alpha=90.00 beta=90.00 gamma=90.00
Last column: nearest neighbours and their distance in Å.
Element x y z (fractional)
Ru: 0.0000 0.0000 0.5000  2 Ge 2.30
Ge: 0.0000 0.0000 0.0000  4 Li 2.16, 2 Ru 2.30
Li: 0.0000 0.5000 0.0000  2 Ge 2.16
Li: 0.5000 0.0000 0.0000  2 Ge 2.16
Cr: 0.5000 0.5000 0.5000  4 Ru 3.05, 8 Li 3.16


[7]
First-principles (PBE) data for crystalline LiCr2GeTe6 at its relaxed geometry, as listed in Alexandria.

Computed properties:
Fermi-level density of states   0.601 states/eV/atom
Formation energy from raw total energies   -165 meV per atom
Total moment   4.823 μB/cell
Calculated total energy   -46.3 eV for the cell shown
Space-group type   R3 (146)
Crystal system   trigonal

Unit cell a=6.9870 b=6.9864 c=7.3812 alpha=61.74 beta=61.75 gamma=60.00
Last column: nearest neighbours and their distance in Å.
Element x y z (fractional)
Li: 0.8105 0.8104 0.5687  6 Te 2.73-2.92
Cr: 0.5124 0.5124 0.4628  6 Te 2.70-2.79
Cr: 0.0109 0.0109 0.9674  6 Te 2.68-2.77
Ge: 0.3206 0.3205 0.0384  6 Te 2.81-2.86
Te: 0.6149 0.2311 0.2504  2 Cr 2.70-2.77, 1 Ge 2.81, 1 Li 2.92
Te: 0.2308 0.9037 0.2506  2 Cr 2.70-2.77, 1 Ge 2.81, 1 Li 2.92
Te: 0.9036 0.6150 0.2504  2 Cr 2.70-2.77, 1 Ge 2.81, 1 Li 2.92
Te: 0.3976 0.7434 0.7422  2 Cr 2.68-2.79, 1 Li 2.73, 1 Ge 2.86
Te: 0.7435 0.1169 0.7422  2 Cr 2.68-2.79, 1 Li 2.73, 1 Ge 2.86
Te: 0.1169 0.3975 0.7422  2 Cr 2.68-2.79, 1 Li 2.73, 1 Ge 2.86


[8]
First-principles (PBE) data for crystalline LiTiCr2Ge at its relaxed geometry, as listed in Alexandria.

Computed properties:
Fermi-level density of states   1.167 states/eV/atom
DFT formation energy   809 meV per atom
Total moment   1.205 μB/cell
Calculated total energy   -29.6 eV for the cell shown
Space-group type   P4/mmm (123)
Crystal system   tetragonal

Unit cell a=4.0747 b=4.0659 c=4.0747 alpha=90.00 beta=90.00 gamma=90.00
Last column: nearest neighbours and their distance in Å.
Element x y z (fractional)
Cr: 0.0000 0.0000 0.5000  2 Li 2.04
Cr: 0.5000 0.0000 0.0000  2 Li 2.04
Ge: 0.0000 0.5000 0.0000  2 Li 2.03
Li: 0.0000 0.0000 0.0000  2 Ge 2.03, 4 Cr 2.04
Ti: 0.5000 0.5000 0.5000  8 Cr 2.88, 4 Ge 2.88


[9]
First-principles (PBE) data for crystalline LiCr2GeW at its relaxed geometry, as listed in Alexandria.

Computed properties:
Fermi-level density of states   0.986 states/eV/atom
DFT formation energy   1100 meV per atom
Total moment   3.094 μB/cell
Calculated total energy   -33.2 eV for the cell shown
Space-group type   P4/mmm (123)
Crystal system   tetragonal

Unit cell a=4.1151 b=3.9975 c=4.1151 alpha=90.00 beta=90.00 gamma=90.00
Last column: nearest neighbours and their distance in Å.
Element x y z (fractional)
Cr: 0.0000 0.0000 0.5000  2 Li 2.06
Cr: 0.5000 0.0000 0.0000  2 Li 2.06
Ge: 0.0000 0.5000 0.0000  2 Li 2.00
W: 0.5000 0.5000 0.5000  8 Cr 2.87, 4 Ge 2.91
Li: 0.0000 0.0000 0.0000  2 Ge 2.00, 4 Cr 2.06


[10]
First-principles (PBE) data for crystalline MgCr2Ge at its relaxed geometry, as listed in Alexandria.

Computed properties:
Fermi-level density of states   1.239 states/eV/atom
DFT formation energy   718 meV per atom
Total moment   4.192 μB/cell
Calculated total energy   -45.2 eV for the cell shown
Space-group type   I-42d (122)
Crystal system   tetragonal

Unit cell a=6.9640 b=6.9640 c=5.5570 alpha=51.20 beta=51.20 gamma=90.00
Last column: nearest neighbours and their distance in Å.
Element x y z (fractional)
Cr: 0.6551 0.1250 0.2500  2 Ge 2.41, 2 Cr 2.61, 2 Mg 2.69
Cr: 0.0949 0.6250 0.2500  2 Ge 2.41, 2 Cr 2.61, 2 Mg 2.69
Cr: 0.3750 0.3449 0.7500  2 Ge 2.41, 2 Cr 2.61, 2 Mg 2.69
Cr: 0.8750 0.9051 0.7500  2 Ge 2.41, 2 Cr 2.61, 2 Mg 2.69
Ge: 0.0000 0.0000 0.0000  4 Cr 2.41, 2 Mg 2.58
Ge: 0.7500 0.2500 0.5000  4 Cr 2.41, 2 Mg 2.58
Mg: 0.5000 0.5000 0.0000  2 Ge 2.58, 4 Cr 2.69
Mg: 0.2500 0.7500 0.5000  2 Ge 2.58, 4 Cr 2.69


[11]
First-principles (PBE) data for crystalline Mg2CrGe at its relaxed geometry, as listed in Alexandria.

Computed properties:
Fermi-level density of states   0.047 states/eV/atom
DFT formation energy   636 meV per atom
Total moment   0.000 μB/cell
Calculated total energy   -29.8 eV for the cell shown
Space-group type   I-42d (122)
Crystal system   tetragonal

Unit cell a=7.4760 b=7.4760 c=5.8802 alpha=50.53 beta=50.53 gamma=90.00
Last column: nearest neighbours and their distance in Å.
Element x y z (fractional)
Cr: 0.5000 0.5000 0.0000  2 Ge 2.58, 4 Mg 2.75
Cr: 0.2500 0.7500 0.5000  2 Ge 2.58, 4 Mg 2.75
Ge: 0.0000 0.0000 0.0000  2 Cr 2.58, 4 Mg 2.69
Ge: 0.7500 0.2500 0.5000  2 Cr 2.58, 4 Mg 2.69
Mg: 0.6317 0.1250 0.2500  2 Mg 2.58, 2 Ge 2.69, 2 Cr 2.75
Mg: 0.1183 0.6250 0.2500  2 Mg 2.58, 2 Ge 2.69, 2 Cr 2.75
Mg: 0.3750 0.3683 0.7500  2 Mg 2.58, 2 Ge 2.69, 2 Cr 2.75
Mg: 0.8750 0.8817 0.7500  2 Mg 2.58, 2 Ge 2.69, 2 Cr 2.75


[12]
First-principles (PBE) data for crystalline MgCrGe2 at its relaxed geometry, as listed in Alexandria.

Computed properties:
Fermi-level density of states   0.557 states/eV/atom
DFT formation energy   68 meV per atom
Total moment   0.494 μB/cell
Calculated total energy   -20.2 eV for the cell shown
Space-group type   R-3m (166)
Crystal system   trigonal

Unit cell a=3.0836 b=3.0836 c=8.1861 alpha=79.14 beta=79.14 gamma=60.00
Last column: nearest neighbours and their distance in Å.
Element x y z (fractional)
Cr: 0.0000 0.0000 0.0000  6 Ge 2.49
Ge: 0.2605 0.2605 0.2185  3 Cr 2.49
Ge: 0.7395 0.7395 0.7815  3 Cr 2.49
Mg: 0.5000 0.5000 0.5000  6 Ge 2.87, 6 Mg 3.08